1.
Crystalline BeTePtO at its relaxed geometry, computed with PBE.

VASP energy: -4.977 eV/atom
offset from the most stable computed form: 0.6279 eV per atom

Cell lengths 6.4069, 11.0243, 8.0174 Å; angles 90.00, 90.00, 90.00 degrees
Closest atoms and distances in Å follow each position.
Atoms (fractional coordinates):
Be: 0.3702 0.3003 0.0156  1 O 1.52
Be: 0.1298 0.8003 0.0156  1 O 1.52
Be: 0.8702 0.3003 0.4844  1 O 1.52
Be: 0.6298 0.8003 0.4844  1 O 1.52
Be: 0.3702 0.1997 0.5156  1 O 1.52
Be: 0.1298 0.6997 0.5156  1 O 1.52
Be: 0.8702 0.1997 0.9844  1 O 1.52
Be: 0.6298 0.6997 0.9844  1 O 1.52
O: 0.2806 0.1851 0.0912  1 Be 1.52
O: 0.2194 0.6851 0.0912  1 Be 1.52
O: 0.7806 0.1851 0.4088  1 Be 1.52
O: 0.7194 0.6851 0.4088  1 Be 1.52
O: 0.2806 0.3149 0.5912  1 Be 1.52
O: 0.2194 0.8149 0.5912  1 Be 1.52
O: 0.7806 0.3149 0.9088  1 Be 1.52
O: 0.7194 0.8149 0.9088  1 Be 1.52
Pt: 0.0176 0.1828 0.2320  2 O 2.03-2.08, 1 Be 2.21
Pt: 0.4824 0.6828 0.2320  2 O 2.03-2.08, 1 Be 2.21
Pt: 0.5176 0.1828 0.2680  2 O 2.03-2.08, 1 Be 2.21
Pt: 0.9824 0.6828 0.2680  2 O 2.03-2.08, 1 Be 2.21
Pt: 0.0176 0.3172 0.7320  2 O 2.03-2.08, 1 Be 2.21
Pt: 0.4824 0.8172 0.7320  2 O 2.03-2.08, 1 Be 2.21
Pt: 0.5176 0.3172 0.7680  2 O 2.03-2.08, 1 Be 2.21
Pt: 0.9824 0.8172 0.7680  2 O 2.03-2.08, 1 Be 2.21
Te: 0.4729 0.4346 0.2477  1 Be 2.47, 1 Pt 2.74
Te: 0.0271 0.9346 0.2477  1 Be 2.47, 1 Pt 2.74
Te: 0.9729 0.4346 0.2523  1 Be 2.47, 1 Pt 2.74
Te: 0.5271 0.9346 0.2523  1 Be 2.47, 1 Pt 2.74
Te: 0.4729 0.0654 0.7477  1 Be 2.47, 1 Pt 2.74
Te: 0.0271 0.5654 0.7477  1 Be 2.47, 1 Pt 2.74
Te: 0.9729 0.0654 0.7523  1 Be 2.47, 1 Pt 2.74
Te: 0.5271 0.5654 0.7523  1 Be 2.47, 1 Pt 2.74

***

2.
Crystalline BeTePtO at its relaxed geometry, computed with PBE.

VASP energy: -5.363 eV/atom
offset from the most stable computed form: 0.2418 eV per atom

Cell lengths 7.2112, 7.6988, 4.7566 Å; angles 90.00, 90.00, 90.00 degrees
Closest atoms and distances in Å follow each position.
Atoms (fractional coordinates):
Be: 0.7506 0.2927 0.3753  2 O 1.49
Be: 0.2506 0.7073 0.3753  2 O 1.49
Be: 0.7494 0.2927 0.8753  2 O 1.49
Be: 0.2494 0.7073 0.8753  2 O 1.49
O: 0.6508 0.3618 0.1260  2 Be 1.49
O: 0.1508 0.6382 0.1260  2 Be 1.49
O: 0.8492 0.3618 0.6260  2 Be 1.49
O: 0.3492 0.6382 0.6260  2 Be 1.49
Pt: 0.8680 0.0108 0.1258  2 Be 2.61-2.62, 2 Te 2.64-2.65, 2 Pt 2.92
Pt: 0.3680 0.9892 0.1258  2 Be 2.61-2.62, 2 Te 2.64-2.65, 2 Pt 2.92
Pt: 0.6320 0.0108 0.6258  2 Be 2.61-2.62, 2 Te 2.64-2.65, 2 Pt 2.92
Pt: 0.1320 0.9892 0.6258  2 Be 2.61-2.62, 2 Te 2.64-2.65, 2 Pt 2.92
Te: 0.1289 0.2514 0.1229  2 Pt 2.64-2.65, 2 Te 2.95
Te: 0.6289 0.7486 0.1229  2 Pt 2.64-2.65, 2 Te 2.95
Te: 0.3711 0.2514 0.6229  2 Pt 2.64-2.65, 2 Te 2.95
Te: 0.8711 0.7486 0.6229  2 Pt 2.64-2.65, 2 Te 2.95

***

3.
Crystalline BeTePtO at its relaxed geometry, computed with PBE.

VASP energy: -5.431 eV/atom
offset from the most stable computed form: 0.1732 eV per atom

Cell lengths 4.9714, 8.2512, 6.3077 Å; angles 90.00, 90.00, 90.00 degrees
Closest atoms and distances in Å follow each position.
Atoms (fractional coordinates):
Be: 0.8546 0.3138 0.0280  2 O 1.48
Be: 0.1454 0.8138 0.4720  2 O 1.48
Be: 0.6454 0.6862 0.5280  2 O 1.48
Be: 0.3546 0.1862 0.9720  2 O 1.48
O: 0.5668 0.2832 0.0761  2 Be 1.48
O: 0.4332 0.7832 0.4239  2 Be 1.48
O: 0.9332 0.7168 0.5761  2 Be 1.48
O: 0.0668 0.2168 0.9239  2 Be 1.48
Pt: 0.9785 0.5848 0.1560  1 Be 2.46, 4 Te 2.68-2.72
Pt: 0.0215 0.0848 0.3440  1 Be 2.46, 4 Te 2.68-2.72
Pt: 0.5215 0.4152 0.6560  1 Be 2.46, 4 Te 2.68-2.72
Pt: 0.4785 0.9152 0.8440  1 Be 2.46, 4 Te 2.68-2.72
Te: 0.9792 0.8928 0.0027  4 Pt 2.68-2.72, 1 O 2.75
Te: 0.0208 0.3928 0.4973  4 Pt 2.68-2.72, 1 O 2.75
Te: 0.5208 0.1072 0.5027  4 Pt 2.68-2.72, 1 O 2.75
Te: 0.4792 0.6072 0.9973  4 Pt 2.68-2.72, 1 O 2.75

***

4.
Crystalline BeTePtO at its relaxed geometry, computed with PBE.

VASP energy: -5.019 eV/atom
offset from the most stable computed form: 0.5850 eV per atom

Cell lengths 6.8484, 6.0634, 7.8306 Å; angles 90.00, 90.00, 90.00 degrees
Closest atoms and distances in Å follow each position.
Atoms (fractional coordinates):
Be: 0.0348 0.5456 0.0888  1 O 1.50
Be: 0.9652 0.0456 0.4112  1 O 1.50
Be: 0.4652 0.4544 0.5887  1 O 1.50
Be: 0.5348 0.9544 0.9113  1 O 1.50
O: 0.5152 0.0845 0.0738  1 Be 1.50
O: 0.4848 0.5845 0.4262  1 Be 1.50
O: 0.9848 0.9155 0.5738  1 Be 1.50
O: 0.0152 0.4155 0.9262  1 Be 1.50
Pt: 0.2683 0.2572 0.0060  2 O 2.06-2.08
Pt: 0.7317 0.7572 0.4940  2 O 2.06-2.08
Pt: 0.2317 0.7428 0.5060  2 O 2.06-2.08
Pt: 0.7683 0.2428 0.9940  2 O 2.06-2.08
Te: 0.0222 0.9538 0.1139  2 Be 2.43-2.48, 2 Pt 2.63-2.64
Te: 0.9778 0.4538 0.3861  2 Be 2.43-2.48, 2 Pt 2.63-2.64
Te: 0.4778 0.0462 0.6139  2 Be 2.43-2.48, 2 Pt 2.63-2.64
Te: 0.5222 0.5462 0.8861  2 Be 2.43-2.48, 2 Pt 2.63-2.64

***

5.
Crystalline BeTePtO at its relaxed geometry, computed with PBE.

VASP energy: -4.901 eV/atom
offset from the most stable computed form: 0.7036 eV per atom

Cell lengths 3.8246, 3.8246, 9.4329 Å; angles 90.00, 90.00, 90.00 degrees
Closest atoms and distances in Å follow each position.
Atoms (fractional coordinates):
Be: 0.2500 0.2500 0.4532  1 O 1.43
Be: 0.7500 0.7500 0.5468  1 O 1.43
O: 0.7500 0.7500 0.3956  1 Be 1.43
O: 0.2500 0.2500 0.6044  1 Be 1.43
Pt: 0.7500 0.2500 0.0000  4 Te 2.69, 4 Pt 2.70
Pt: 0.2500 0.7500 0.0000  4 Te 2.69, 4 Pt 2.70
Te: 0.2500 0.2500 0.2001  1 Be 2.39
Te: 0.7500 0.7500 0.7999  1 Be 2.39

***

6.
Crystalline BeTePtO at its relaxed geometry, computed with PBE.

VASP energy: -4.388 eV/atom
offset from the most stable computed form: 1.2166 eV per atom

Cell lengths 4.0718, 4.0718, 8.0176 Å; angles 90.00, 90.00, 90.00 degrees
Closest atoms and distances in Å follow each position.
Atoms (fractional coordinates):
Be: 0.7500 0.7500 0.1474  1 Pt 2.20, 1 Te 2.41
Be: 0.2500 0.2500 0.8526  1 Pt 2.20, 1 Te 2.41
O: 0.7500 0.2500 0.5000  4 Pt 2.13
O: 0.2500 0.7500 0.5000  4 Pt 2.13
Pt: 0.7500 0.7500 0.4218  4 O 2.13, 1 Be 2.20
Pt: 0.2500 0.2500 0.5782  4 O 2.13, 1 Be 2.20
Te: 0.2500 0.2500 0.1534  1 Be 2.41
Te: 0.7500 0.7500 0.8466  1 Be 2.41

***

7.
Crystalline BeTePtO at its relaxed geometry, computed with PBE.

VASP energy: -5.604 eV/atom
offset from the most stable computed form: 0.0000 eV per atom

Cell lengths 3.0130, 3.0130, 15.7102 Å; angles 90.00, 90.00, 90.00 degrees
Closest atoms and distances in Å follow each position.
Atoms (fractional coordinates):
Be: 0.7500 0.2500 0.0000  4 O 1.64
Be: 0.2500 0.7500 0.0000  4 O 1.64
O: 0.7500 0.7500 0.0414  4 Be 1.64
O: 0.2500 0.2500 0.9586  4 Be 1.64
Pt: 0.7500 0.7500 0.4411  1 Te 2.54, 4 Pt 2.82
Pt: 0.2500 0.2500 0.5589  1 Te 2.54, 4 Pt 2.82
Te: 0.7500 0.7500 0.2796  1 Pt 2.54
Te: 0.2500 0.2500 0.7204  1 Pt 2.54

***

8.
Crystalline BeTePtO at its relaxed geometry, computed with PBE.

VASP energy: -5.581 eV/atom
offset from the most stable computed form: 0.0237 eV per atom

Cell lengths 3.4580, 3.4580, 10.5405 Å; angles 90.00, 90.00, 90.00 degrees
Closest atoms and distances in Å follow each position.
Atoms (fractional coordinates):
Be: 0.2500 0.2500 0.4975  4 O 1.73
Be: 0.7500 0.7500 0.5025  4 O 1.73
O: 0.7500 0.2500 0.5000  4 Be 1.73
O: 0.2500 0.7500 0.5000  4 Be 1.73
Pt: 0.7500 0.7500 0.0788  5 Te 2.72-2.85, 4 Pt 2.96
Pt: 0.2500 0.2500 0.9212  5 Te 2.72-2.85, 4 Pt 2.96
Te: 0.2500 0.2500 0.1919  5 Pt 2.72-2.85
Te: 0.7500 0.7500 0.8081  5 Pt 2.72-2.85